CeTlVF6: optimized geometry, GGA+U.

abc: 6.0333 6.0333 11.5875
angles: 90.00 90.00 120.00
Space group P-31c (No. 163)
Unique sites:
Ce  0.3333  0.6667  0.2500 [2 per cell]
Tl  0.0000  0.0000  0.0000 [2 per cell]
V  0.3333  0.6667  0.7500 [2 per cell]
F  0.0231  0.3831  0.6506 [12 per cell]

Uncorrected energy ... -6.01 eV/atom
DOS at the Fermi energy ... 1.9 states/eV per cell